Li3Co2IrO6: optimized geometry, PBE with a Hubbard U.

abc: 5.123 5.123 5.006
angles: 99.84 99.84 120.00
Atoms (fractional coordinates):
Ir (0.000, 0.000, 0.000)
Co (0.333, 0.667, 0.000)
O (0.275, 0.275, 0.779)
O (0.421, 0.073, 0.219)
O (0.927, 0.579, 0.781)
O (0.579, 0.927, 0.781)
Li (0.832, 0.168, 0.500)
Li (0.168, 0.832, 0.500)
O (0.725, 0.725, 0.221)
Li (0.500, 0.500, 0.500)
Co (0.667, 0.333, 0.000)
O (0.073, 0.421, 0.219)

Calculated values
- E_tot: -5.848 eV per atom
- Theoretical density: 6.63 Mg/m³
- Space-group type: No. 12
- Total moment: 0.000 μB per atom